[1]
{
  "formula": "Tb10Sm4Mg",
  "functional": "PBE",
  "state": "relaxed",
  "space_group": "I4/m (87)",
  "e_form_ev_per_atom": 0.35,
  "mass_density_kg_m3": 7263,
  "lattice": [[-4.9200, 4.9200, 5.2302], [4.9200, -4.9200, 5.2302], [4.9200, 4.9200, -5.2302]],
  "species": ["Tb", "Tb", "Tb", "Tb", "Tb", "Tb", "Tb", "Tb", "Tb", "Tb", "Sm", "Sm", "Sm", "Sm", "Mg"],
  "frac_coords": [[0.0509, 0.7278, 0.1025], [0.0516, 0.9491, 0.6769], [0.2500, 0.7500, 0.5000], [0.2722, 0.3747, 0.3231], [0.3747, 0.0516, 0.1025], [0.6253, 0.9484, 0.8975], [0.7278, 0.6253, 0.6769], [0.7500, 0.2500, 0.5000], [0.9484, 0.0509, 0.3231], [0.9491, 0.2722, 0.8975], [0.1734, 0.5686, 0.7421], [0.4314, 0.1734, 0.6048], [0.5686, 0.8266, 0.3952], [0.8266, 0.4314, 0.2579], [0.5000, 0.5000, 0.0000]]
}

***

[2]
{
  "formula": "Tb5Sm4Mg2",
  "functional": "PBE",
  "state": "relaxed",
  "space_group": "C2/m (12)",
  "e_form_ev_per_atom": 0.13,
  "mass_density_kg_m3": 6767,
  "polymorph_energy_mev_per_atom": 54,
  "lattice": [[8.8560, -1.7424, 0.0000], [8.8560, 1.7424, 0.0000], [-0.5963, 0.0000, 11.4867]],
  "species": ["Tb", "Tb", "Tb", "Tb", "Tb", "Sm", "Sm", "Sm", "Sm", "Mg", "Mg"],
  "frac_coords": [[0.0000, 0.0000, 0.0000], [0.2879, 0.2879, 0.6178], [0.3248, 0.3248, 0.9214], [0.6752, 0.6752, 0.0786], [0.7121, 0.7121, 0.3822], [0.1426, 0.1426, 0.8110], [0.4766, 0.4766, 0.7228], [0.5234, 0.5234, 0.2772], [0.8574, 0.8574, 0.1890], [0.0898, 0.0898, 0.5315], [0.9102, 0.9102, 0.4685]]
}

***

[3]
{
  "formula": "TbSm8Mg2",
  "functional": "PBE",
  "state": "relaxed",
  "space_group": "C2/m (12)",
  "e_form_ev_per_atom": 0.01,
  "mass_density_kg_m3": 6676,
  "polymorph_energy_mev_per_atom": 0,
  "lattice": [[8.8718, -2.5599, 0.0000], [8.8718, 2.5599, 0.0000], [-2.5778, 0.0000, 7.7239]],
  "species": ["Tb", "Sm", "Sm", "Sm", "Sm", "Sm", "Sm", "Sm", "Sm", "Mg", "Mg"],
  "frac_coords": [[0.0000, 0.0000, 0.0000], [0.0939, 0.0939, 0.4592], [0.1836, 0.1836, 0.9330], [0.3589, 0.3589, 0.8030], [0.4506, 0.4506, 0.2673], [0.5494, 0.5494, 0.7327], [0.6411, 0.6411, 0.1970], [0.8164, 0.8164, 0.0670], [0.9061, 0.9061, 0.5408], [0.2729, 0.2729, 0.3658], [0.7271, 0.7271, 0.6342]]
}

***

[4]
{
  "formula": "Tb3Sm4Mg2",
  "functional": "PBE",
  "state": "relaxed",
  "space_group": "C2/m (12)",
  "e_form_ev_per_atom": 0.01,
  "mass_density_kg_m3": 6696,
  "lattice": [[7.5243, -2.5112, 0.0000], [7.5243, 2.5112, 0.0000], [-2.5171, 0.0000, 7.3949]],
  "species": ["Tb", "Tb", "Tb", "Sm", "Sm", "Sm", "Sm", "Mg", "Mg"],
  "frac_coords": [[0.0000, 0.0000, 0.0000], [0.1118, 0.1118, 0.6689], [0.8882, 0.8882, 0.3311], [0.2220, 0.2220, 0.3278], [0.4460, 0.4460, 0.6692], [0.5540, 0.5540, 0.3308], [0.7780, 0.7780, 0.6722], [0.3316, 0.3316, 0.0011], [0.6684, 0.6684, 0.9989]]
}

***

[5]
{
  "formula": "Tb2SmMg",
  "functional": "PBE",
  "state": "relaxed",
  "space_group": "Cm (8)",
  "e_form_ev_per_atom": 0.04,
  "mass_density_kg_m3": 6645,
  "polymorph_energy_mev_per_atom": 76,
  "lattice": [[3.0683, -1.7659, 0.0000], [3.0683, 1.7659, 0.0000], [-2.0495, 0.0000, 11.3566]],
  "species": ["Tb", "Tb", "Sm", "Mg"],
  "frac_coords": [[0.0000, 0.0000, 0.0000], [0.1618, 0.1618, 0.4862], [0.5815, 0.5815, 0.7444], [0.4131, 0.4131, 0.2434]]
}

***

[6]
{
  "formula": "Tb2SmMg5",
  "functional": "PBE",
  "state": "relaxed",
  "space_group": "I4/mmm (139)",
  "e_form_ev_per_atom": -0.08,
  "mass_density_kg_m3": 4619,
  "lattice": [[-2.6374, 2.6374, 7.6197], [2.6374, -2.6374, 7.6197], [2.6374, 2.6374, -7.6197]],
  "species": ["Tb", "Tb", "Sm", "Mg", "Mg", "Mg", "Mg", "Mg"],
  "frac_coords": [[0.2418, 0.2418, 0.0000], [0.7582, 0.7582, 0.0000], [0.5000, 0.5000, 0.0000], [0.0000, 0.0000, 0.0000], [0.1207, 0.6207, 0.5000], [0.3793, 0.8793, 0.5000], [0.6207, 0.1207, 0.5000], [0.8793, 0.3793, 0.5000]]
}

***

[7]
{
  "formula": "Tb5Sm2Mg",
  "functional": "PBE",
  "state": "relaxed",
  "space_group": "I4/mmm (139)",
  "e_form_ev_per_atom": 0.01,
  "mass_density_kg_m3": 7445,
  "lattice": [[-3.5243, 3.5243, 5.0266], [3.5243, -3.5243, 5.0266], [3.5243, 3.5243, -5.0266]],
  "species": ["Tb", "Tb", "Tb", "Tb", "Tb", "Sm", "Sm", "Mg"],
  "frac_coords": [[0.0000, 0.0000, 0.0000], [0.0000, 0.0000, 0.5000], [0.0000, 0.5000, 0.0000], [0.5000, 0.0000, 0.0000], [0.5000, 0.5000, 0.5000], [0.0000, 0.5000, 0.5000], [0.5000, 0.0000, 0.5000], [0.5000, 0.5000, 0.0000]]
}

***

[8]
{
  "formula": "TbSmMg6",
  "functional": "PBE",
  "state": "relaxed",
  "space_group": "Amm2 (38)",
  "e_form_ev_per_atom": -0.08,
  "mass_density_kg_m3": 3703,
  "lattice": [[5.1970, 0.0000, 0.0000], [0.0000, 3.3695, 5.8279], [0.0000, -3.3695, 5.8279]],
  "species": ["Tb", "Sm", "Mg", "Mg", "Mg", "Mg", "Mg", "Mg"],
  "frac_coords": [[0.0000, 0.0000, 0.0000], [0.5000, 0.3324, 0.3324], [0.0000, 0.5038, 0.5038], [0.0000, 0.5048, 0.9906], [0.0000, 0.9906, 0.5048], [0.5000, 0.3393, 0.8290], [0.5000, 0.8290, 0.3393], [0.5000, 0.8298, 0.8298]]
}

***

[9]
{
  "formula": "Tb3Sm6Mg",
  "functional": "PBE",
  "state": "relaxed",
  "space_group": "P2_1/c (14)",
  "e_form_ev_per_atom": 0.13,
  "mass_density_kg_m3": 7059,
  "polymorph_energy_mev_per_atom": 10,
  "lattice": [[5.2973, 0.0000, 0.0000], [0.0000, 10.4566, 0.0000], [-5.2881, 0.0000, 11.9190]],
  "species": ["Tb", "Tb", "Tb", "Tb", "Tb", "Tb", "Sm", "Sm", "Sm", "Sm", "Sm", "Sm", "Sm", "Sm", "Sm", "Sm", "Sm", "Sm", "Mg", "Mg"],
  "frac_coords": [[0.0000, 0.0000, 0.0000], [0.0000, 0.5000, 0.5000], [0.2868, 0.1207, 0.7868], [0.2868, 0.3793, 0.2868], [0.7132, 0.6207, 0.7132], [0.7132, 0.8793, 0.2132], [0.0801, 0.6737, 0.0802], [0.0801, 0.8263, 0.5802], [0.2519, 0.0683, 0.2518], [0.2519, 0.4317, 0.7518], [0.3847, 0.7141, 0.3850], [0.3847, 0.7859, 0.8850], [0.6153, 0.2141, 0.1150], [0.6153, 0.2859, 0.6150], [0.7481, 0.5683, 0.2482], [0.7481, 0.9317, 0.7482], [0.9199, 0.1737, 0.4198], [0.9199, 0.3263, 0.9198], [0.5000, 0.0000, 0.5000], [0.5000, 0.5000, 0.0000]]
}

***

[10]
{
  "formula": "Tb7Sm2Mg",
  "functional": "PBE",
  "state": "relaxed",
  "space_group": "Cmmm (65)",
  "e_form_ev_per_atom": 0.65,
  "mass_density_kg_m3": 6240,
  "lattice": [[4.3250, -8.2739, 0.0000], [4.3250, 8.2739, 0.0000], [0.0000, 0.0000, 5.3455]],
  "species": ["Tb", "Tb", "Tb", "Tb", "Tb", "Tb", "Tb", "Sm", "Sm", "Mg"],
  "frac_coords": [[0.0000, 0.0000, 0.0000], [0.2158, 0.4285, 0.0000], [0.2956, 0.7044, 0.5000], [0.4285, 0.2158, 0.0000], [0.5715, 0.7842, 0.0000], [0.7044, 0.2956, 0.5000], [0.7842, 0.5715, 0.0000], [0.2060, 0.7940, 0.0000], [0.7940, 0.2060, 0.0000], [0.5000, 0.5000, 0.5000]]
}

***

[11]
{
  "formula": "TbSmMg5",
  "functional": "PBE",
  "state": "relaxed",
  "space_group": "C2/m (12)",
  "e_form_ev_per_atom": 0.10,
  "mass_density_kg_m3": 3689,
  "lattice": [[3.1956, -4.8541, 0.0000], [3.1956, 4.8541, 0.0000], [-2.2557, 0.0000, 6.2514]],
  "species": ["Tb", "Sm", "Mg", "Mg", "Mg", "Mg", "Mg"],
  "frac_coords": [[0.0000, 0.0000, 0.0000], [0.5000, 0.5000, 0.5000], [0.0080, 0.5848, 0.2745], [0.4152, 0.9920, 0.7255], [0.5000, 0.5000, 0.0000], [0.5848, 0.0080, 0.2745], [0.9920, 0.4152, 0.7255]]
}

***

Please write out number 10 again, unchanged.
{
  "formula": "Tb7Sm2Mg",
  "functional": "PBE",
  "state": "relaxed",
  "space_group": "Cmmm (65)",
  "e_form_ev_per_atom": 0.65,
  "mass_density_kg_m3": 6240,
  "lattice": [[4.3250, -8.2739, 0.0000], [4.3250, 8.2739, 0.0000], [0.0000, 0.0000, 5.3455]],
  "species": ["Tb", "Tb", "Tb", "Tb", "Tb", "Tb", "Tb", "Sm", "Sm", "Mg"],
  "frac_coords": [[0.0000, 0.0000, 0.0000], [0.2158, 0.4285, 0.0000], [0.2956, 0.7044, 0.5000], [0.4285, 0.2158, 0.0000], [0.5715, 0.7842, 0.0000], [0.7044, 0.2956, 0.5000], [0.7842, 0.5715, 0.0000], [0.2060, 0.7940, 0.0000], [0.7940, 0.2060, 0.0000], [0.5000, 0.5000, 0.5000]]
}